(1)
DFT (PBE) results for a relaxed Na5Li2Sn4 crystal.

Cell lengths 8.526, 3.268, 10.175 Å; angles 90.00, 93.70, 90.00 degrees
Positions (direct):
Na 0.000 0.000 0.000
Na 0.047 0.000 0.344
Na 0.365 0.000 0.868
Na 0.635 0.000 0.132
Na 0.953 0.000 0.656
Li 0.422 0.000 0.372
Li 0.578 0.000 0.628
Sn 0.283 0.500 0.582
Sn 0.289 0.500 0.149
Sn 0.711 0.500 0.851
Sn 0.717 0.500 0.418

Properties
Energy relative to the elements, eV per atom: -0.2178

---

(2)
DFT (PBE) results for a relaxed CdHPt2 crystal.

Cell lengths 6.213, 6.213, 5.859 Å; angles 90.00, 90.00, 90.00 degrees
Positions (direct):
Cd 0.000 0.000 0.000
Cd 0.000 0.500 0.250
Cd 0.500 0.000 0.750
Cd 0.500 0.500 0.500
H 0.000 0.000 0.500
H 0.000 0.500 0.750
H 0.500 0.000 0.250
H 0.500 0.500 0.000
Pt 0.129 0.250 0.625
Pt 0.250 0.629 0.875
Pt 0.250 0.871 0.375
Pt 0.371 0.250 0.125
Pt 0.629 0.750 0.125
Pt 0.750 0.129 0.375
Pt 0.750 0.371 0.875
Pt 0.871 0.750 0.625

Properties
Energy above the most stable polymorph in this dataset, meV/atom: 0

---

(3)
DFT (PBE) results for a relaxed NbV2 crystal.

Cell lengths 4.248, 5.072, 5.212 Å; angles 65.19, 67.08, 68.75 degrees
Positions (direct):
Nb 0.170 0.410 0.249
Nb 0.830 0.590 0.751
V 0.162 0.926 0.754
V 0.494 0.765 0.251
V 0.506 0.235 0.749
V 0.838 0.074 0.246

Properties
Energy relative to the elements, eV per atom: 0.0568

---

(4)
DFT (PBE) results for a relaxed LiY2Mn crystal.

Cell lengths 11.217, 3.466, 5.193 Å; angles 90.00, 108.86, 90.00 degrees
Positions (direct):
Li 0.000 0.000 0.000
Li 0.500 0.500 0.000
Y 0.234 0.000 0.797
Y 0.445 0.000 0.446
Y 0.734 0.500 0.797
Y 0.945 0.500 0.446
Mn 0.200 0.500 0.286
Mn 0.700 0.000 0.286

Properties
Energy relative to the elements, eV per atom: 0.1972

---

(5)
DFT (PBE) results for a relaxed Cs3La2YSe6 crystal.

Cell lengths 7.660, 7.660, 8.762 Å; angles 98.38, 98.38, 120.00 degrees
Positions (direct):
Cs 0.000 0.000 0.000
Cs 0.332 0.668 0.000
Cs 0.668 0.332 0.000
La 0.167 0.833 0.500
La 0.833 0.167 0.500
Y 0.500 0.500 0.500
Se 0.115 0.437 0.311
Se 0.241 0.241 0.690
Se 0.437 0.115 0.311
Se 0.563 0.885 0.689
Se 0.759 0.759 0.310
Se 0.885 0.563 0.689

Properties
E_form (uncorrected), meV/atom: -1783

---

(6)
DFT (PBE) results for a relaxed CsTh4Te12Au3 crystal.

Cell lengths 9.881, 9.881, 9.881 Å; angles 109.47, 109.47, 109.47 degrees
Positions (direct):
Cs 0.000 0.000 0.000
Th 0.000 0.000 0.500
Th 0.000 0.500 0.000
Th 0.500 0.000 0.000
Th 0.500 0.500 0.500
Te 0.158 0.323 0.835
Te 0.165 0.488 0.323
Te 0.165 0.842 0.677
Te 0.323 0.165 0.488
Te 0.323 0.835 0.158
Te 0.488 0.323 0.165
Te 0.512 0.677 0.835
Te 0.677 0.165 0.842
Te 0.677 0.835 0.512
Te 0.835 0.158 0.323
Te 0.835 0.512 0.677
Te 0.842 0.677 0.165
Au 0.000 0.500 0.500
Au 0.500 0.000 0.500
Au 0.500 0.500 0.000

Properties
E_form (uncorrected), meV/atom: -683

---

(7)
DFT (PBE) results for a relaxed Os2RuCl crystal.

Cell lengths 6.012, 7.117, 2.754 Å; angles 90.00, 90.00, 90.00 degrees
Positions (direct):
Os 0.250 0.250 0.000
Os 0.250 0.750 0.000
Os 0.750 0.250 0.000
Os 0.750 0.750 0.000
Ru 0.000 0.000 0.500
Ru 0.500 0.500 0.500
Cl 0.000 0.500 0.500
Cl 0.500 0.000 0.500

Properties
Energy above the most stable polymorph in this dataset, meV/atom: 770
E_form (uncorrected), meV/atom: 1277

---

(8)
DFT (PBE) results for a relaxed Ac2Tb crystal.

Cell lengths 12.142, 5.425, 3.881 Å; angles 90.00, 108.53, 90.00 degrees
Positions (direct):
Ac 0.164 0.000 0.165
Ac 0.336 0.500 0.835
Ac 0.664 0.500 0.165
Ac 0.836 0.000 0.835
Tb 0.000 0.500 0.500
Tb 0.500 0.000 0.500

Properties
Energy above the most stable polymorph in this dataset, meV/atom: 0
Energy relative to the elements, eV per atom: 0.0550